Entry 1:
## TlSbPd6 (GGA-PBE)

Data for a relaxed TlSbPd6 crystal.

The value obtained for the excess energy over the best structure of this formula in the dataset is 0.082 eV per atom. The value obtained for the magnetic moment is 0.00 μB per cell.

The structure belongs to space group P-1 (No. 2); the cell edges are 5.191, 5.237 and 5.248 Å and the angles 94.11°, 94.60° and 94.42°. The distinct sites, in fractional coordinates, are Tl at (0.000, 0.000, 0.000), Sb at (0.500, 0.500, 0.500), Pd at (0.064, 0.446, 0.749), Pd at (0.252, 0.932, 0.557) and Pd at (0.446, 0.748, 0.067).

---

Entry 2:
## TlSbPd (GGA-PBE)

Data for a relaxed TlSbPd crystal.

The value obtained for the excess energy over the best structure of this formula in the dataset is 0.122 eV per atom. The value obtained for the magnetic moment is 0.00 μB per cell.

The structure belongs to space group P3m1 (No. 156); the cell edges are 3.6427, 3.6427 and 6.3801 Å and the angles 90.00°, 90.00° and 120.00°. The distinct sites, in fractional coordinates, are Tl at (0.0000, 0.0000, 0.0000), Sb at (0.6667, 0.3333, 0.5789) and Pd at (0.3333, 0.6667, 0.3231).

---

Entry 3:
## TlSb2Pd9 (GGA-PBE)

Data for a relaxed TlSb2Pd9 crystal.

As for the raw total energy: -5.123 eV per atom. The value obtained for the magnetic moment is 0.00 μB per cell.

The structure belongs to space group P4/mmm (No. 123); the cell edges are 4.066, 4.066 and 12.172 Å and the angles 90.00°, 90.00° and 90.00°. The distinct sites, in fractional coordinates, are Tl at (0.000, 0.000, 0.000), Sb at (0.000, 0.000, 0.330), Pd at (0.000, 0.500, 0.172), Pd at (0.000, 0.500, 0.500), Pd at (0.500, 0.500, 0.000) and Pd at (0.500, 0.500, 0.338).

---

Entry 4:
## TlSbPd (GGA-PBE)

Data for a relaxed TlSbPd crystal.

The value obtained for the excess energy over the best structure of this formula in the dataset is 0.096 eV per atom. The value obtained for the magnetic moment is 0.00 μB per cell.

The structure belongs to space group F-43m (No. 216); the cell edges are 6.645, 6.645 and 6.645 Å and the angles 90.00°, 90.00° and 90.00°. The distinct sites, in fractional coordinates, are Tl at (0.000, 0.000, 0.000), Sb at (0.000, 0.000, 0.500) and Pd at (0.250, 0.250, 0.750).

---

Entry 5:
## TlSb3Pd (GGA-PBE)

Data for a relaxed TlSb3Pd crystal.

The value obtained for the excess energy over the best structure of this formula in the dataset is 0.371 eV per atom. The value obtained for the magnetic moment is 0.00 μB per cell.

The structure belongs to space group Pm-3m (No. 221); the cell edges are 5.331, 5.331 and 5.331 Å and the angles 90.00°, 90.00° and 90.00°. The distinct sites, in fractional coordinates, are Tl at (0.000, 0.000, 0.000), Sb at (0.000, 0.500, 0.500) and Pd at (0.500, 0.500, 0.500).

---

Entry 6:
## TlSb2Pd2 (GGA-PBE)

Data for a relaxed TlSb2Pd2 crystal.

The value obtained for the excess energy over the best structure of this formula in the dataset is 0.000 eV per atom. The value obtained for the magnetic moment is 0.00 μB per cell.

The structure belongs to space group I4/mmm (No. 139); the cell edges are 4.600, 4.600 and 11.684 Å and the angles 90.00°, 90.00° and 90.00°. The distinct sites, in fractional coordinates, are Tl at (0.000, 0.000, 0.000), Sb at (0.000, 0.000, 0.367) and Pd at (0.000, 0.500, 0.250).

---

Entry 7:
## Tl2SbPd7 (GGA-PBE)

Data for a relaxed Tl2SbPd7 crystal.

As for the raw total energy: -4.476 eV per atom. The value obtained for the magnetic moment is 0.00 μB per cell.

The structure belongs to space group Cmmm (No. 65); the cell edges are 7.754, 17.110 and 3.091 Å and the angles 90.00°, 90.00° and 90.00°. The distinct sites, in fractional coordinates, are Tl at (0.000, 0.172, 0.000), Sb at (0.000, 0.500, 0.500), Pd at (0.000, 0.000, 0.000), Pd at (0.000, 0.306, 0.500) and Pd at (0.196, 0.411, 0.000).

---

Entry 8:
## Tl2Sb2Pd (GGA-PBE)

Data for a relaxed Tl2Sb2Pd crystal.

The value obtained for the excess energy over the best structure of this formula in the dataset is 0.316 eV per atom. The value obtained for the magnetic moment is 0.00 μB per cell.

The structure belongs to space group P4/mbm (No. 127); the cell edges are 7.422, 7.422 and 5.128 Å and the angles 90.00°, 90.00° and 90.00°. The distinct sites, in fractional coordinates, are Tl at (0.171, 0.329, 0.000), Sb at (0.135, 0.635, 0.500) and Pd at (0.000, 0.000, 0.000).

---

Entry 9:
## Tl5Sb2Pd12 (GGA-PBE)

Data for a relaxed Tl5Sb2Pd12 crystal.

As for the raw total energy: -4.520 eV per atom. The value obtained for the magnetic moment is 0.00 μB per cell.

The structure belongs to space group C2/m (No. 12); the cell edges are 15.151, 8.647 and 6.100 Å and the angles 90.00°, 108.62° and 90.00°. The distinct sites, in fractional coordinates, are Tl at (0.000, 0.000, 0.000), Tl at (0.217, 0.500, 0.197), Tl at (0.227, 0.000, 0.259), Sb at (0.000, 0.275, 0.500), Pd at (0.041, 0.500, 0.823), Pd at (0.093, 0.000, 0.495), Pd at (0.094, 0.265, 0.193) and Pd at (0.167, 0.252, 0.815).

---

Entry 10:
## Tl2SbPd2 (GGA-PBE)

Data for a relaxed Tl2SbPd2 crystal.

The value obtained for the excess energy over the best structure of this formula in the dataset is 0.196 eV per atom. The value obtained for the magnetic moment is 0.00 μB per cell.

The structure belongs to space group I4/mmm (No. 139); the cell edges are 4.138, 4.138 and 13.359 Å and the angles 90.00°, 90.00° and 90.00°. The distinct sites, in fractional coordinates, are Tl at (0.000, 0.500, 0.250), Sb at (0.000, 0.000, 0.000) and Pd at (0.000, 0.000, 0.401).

---

Entry 11:
## Tl3Sb2Pd4 (GGA-PBE)

Data for a relaxed Tl3Sb2Pd4 crystal.

As for the raw total energy: -4.219 eV per atom. The value obtained for the magnetic moment is 0.00 μB per cell.

The structure belongs to space group C2/m (No. 12); the cell edges are 11.218, 4.196 and 9.146 Å and the angles 90.00°, 107.06° and 90.00°. The distinct sites, in fractional coordinates, are Tl at (0.000, 0.000, 0.000), Tl at (0.119, 0.500, 0.408), Sb at (0.173, 0.500, 0.821), Pd at (0.108, 0.000, 0.625) and Pd at (0.169, 0.500, 0.118).

---

Entry 12:
## TlSb2Pd2 (GGA-PBE)

Data for a relaxed TlSb2Pd2 crystal.

The value obtained for the excess energy over the best structure of this formula in the dataset is 0.062 eV per atom. The value obtained for the magnetic moment is 0.00 μB per cell.

The structure belongs to space group P4/mbm (No. 127); the cell edges are 8.295, 8.295 and 3.221 Å and the angles 90.00°, 90.00° and 90.00°. The distinct sites, in fractional coordinates, are Tl at (0.000, 0.000, 0.000), Sb at (0.152, 0.348, 0.500) and Pd at (0.131, 0.631, 0.000).